This record from Alexandria via LeMat-Bulk describes Na2US3 at its PBEsol-relaxed geometry. The functional is SCAN.

Cell and atoms, written as extended XYZ:
```
12
Lattice="6.854 -0.001 0.002 -3.423 5.938 0.002 -1.153 -1.995 6.537" Properties=species:S:1:pos:R:3 pbc="T T T"
Na 0.000 0.000 0.000
Na 4.635 -0.049 3.270
Na 1.139 1.972 3.270
Na -2.357 3.992 3.270
S -0.154 3.943 5.050
S 0.063 0.109 5.042
S 3.493 1.836 5.050
S -1.214 2.107 1.491
S 2.432 0.000 1.491
S 2.216 3.834 1.499
U 3.433 1.976 0.002
U -0.002 3.961 0.002
```

Calculated values
Electronic total energy, eV per atom: -25.0222
Density, Mg/m³: 4.7